A relaxed SrLa2Sn2 crystal, computed with GGA-PBE.

## Properties
total DFT energy (no corrections): -4.57 eV per atom
formation enthalpy at 0 K: -662 meV per atom

abc: 9.232 9.232 4.050
angles: 90.00 90.00 90.00
Space group P4/mbm (No. 127)
Asymmetric unit:
Sr (0.000, 0.000, 0.000)
La (0.132, 0.368, 0.500)
Sn (0.167, 0.667, 0.000)